Record 1
The following is a DFT calculation (PBE) of crystalline HoFeC2 at its relaxed geometry.

Unit cell a=3.3560 b=3.3560 c=13.4280 alpha=90.00 beta=90.00 gamma=120.00
Space group R-3m (No. 166, hexagonal axes)
One atom of each set of equivalent atoms:
Ho 0.0000 0.0000 0.0000 [3 per cell]
Fe 0.0000 0.0000 0.5000 [3 per cell]
C 0.0000 0.0000 0.2180 [6 per cell]

D(E_F) (states/eV/f.u.): 3.60
Energy of formation (meV/atom): 260
Size of the total moment (μB per atom): 0.010

---

Record 2
The following is a DFT calculation (PBE) of crystalline TmMnCo2 at its relaxed geometry.

Unit cell a=4.0085 b=4.0085 c=13.8210 alpha=90.00 beta=90.00 gamma=120.00
Space group R-3m (No. 166, hexagonal axes)
One atom of each set of equivalent atoms:
Tm 0.0000 0.0000 0.0000 [3 per cell]
Mn 0.0000 0.0000 0.5000 [3 per cell]
Co 0.0000 0.0000 0.1971 [6 per cell]

D(E_F) (states/eV/f.u.): 4.28
Energy of formation (meV/atom): -47
Size of the total moment (μB per atom): 0.932

---

Record 3
The following is a DFT calculation (PBE) of crystalline HoThAg2 at its relaxed geometry.

Unit cell a=3.573 b=3.573 c=7.780 alpha=90.00 beta=90.00 gamma=90.00
Space group P4/mmm (No. 123)
One atom of each set of equivalent atoms:
Ho 0.000 0.000 0.000 [1 per cell]
Th 0.000 0.000 0.500 [1 per cell]
Ag 0.500 0.500 0.227 [2 per cell]

D(E_F) (states/eV/f.u.): 3.92
Energy of formation (meV/atom): -178
Size of the total moment (μB per atom): 0.002

---

Record 4
The following is a DFT calculation (PBE) of crystalline HoTm2NpSb4 at its relaxed geometry.

Unit cell a=7.550 b=4.359 c=7.555 alpha=90.00 beta=109.33 gamma=90.00
Space group P2/m (No. 10)
One atom of each set of equivalent atoms:
Ho 0.000 0.000 0.000 [1 per cell]
Tm 0.500 0.000 0.500 [1 per cell]
Tm 0.500 0.500 0.000 [1 per cell]
Np 0.000 0.500 0.500 [1 per cell]
Sb 0.253 0.500 0.250 [2 per cell]
Sb 0.254 0.000 0.753 [2 per cell]

D(E_F) (states/eV/f.u.): 11.53
Raw formation energy (eV/f.u.): -6.8
Size of the total moment (μB per atom): 0.489

---

Record 5
The following is a DFT calculation (PBE) of crystalline Eu3InP at its relaxed geometry.

Unit cell a=5.632 b=5.632 c=5.632 alpha=90.00 beta=90.00 gamma=90.00
Space group Pm-3m (No. 221)
One atom of each set of equivalent atoms:
Eu 0.000 0.000 0.500 [3 per cell]
In 0.500 0.500 0.500 [1 per cell]
P 0.000 0.000 0.000 [1 per cell]

D(E_F) (states/eV/f.u.): 31.40
Energy of formation (meV/atom): -589
Size of the total moment (μB per atom): 4.407

---

Record 6
The following is a DFT calculation (PBE) of crystalline LuMgCrS4 at its relaxed geometry.

Unit cell a=7.428 b=7.566 c=10.593 alpha=90.00 beta=90.00 gamma=90.00
Space group Imma (No. 74)
One atom of each set of equivalent atoms:
Lu 0.000 0.000 0.000 [4 per cell]
Mg 0.000 0.250 0.377 [4 per cell]
Cr 0.250 0.250 0.750 [4 per cell]
S 0.000 0.032 0.748 [8 per cell]
S 0.245 0.250 0.980 [8 per cell]

Raw formation energy (eV/f.u.): -9.5
Size of the total moment (μB per atom): 0.000

---

Record 7
The following is a DFT calculation (PBE) of crystalline SrAs2Pt4 at its relaxed geometry.

Unit cell a=8.089 b=8.089 c=3.970 alpha=90.00 beta=90.00 gamma=90.00
Space group P4_2/mnm (No. 136)
One atom of each set of equivalent atoms:
Sr 0.000 0.000 0.000 [2 per cell]
As 0.217 0.217 0.500 [4 per cell]
Pt 0.093 0.657 0.500 [8 per cell]

D(E_F) (states/eV/f.u.): 2.40
Energy of formation (meV/atom): -581
Size of the total moment (μB per atom): 0.000

---

Record 8
The following is a DFT calculation (PBE) of crystalline PrNd2Sm at its relaxed geometry.

Unit cell a=3.6949 b=3.6949 c=35.7844 alpha=90.00 beta=90.00 gamma=120.00
Space group R3m (No. 160, hexagonal axes)
One atom of each set of equivalent atoms:
Pr 0.0000 0.0000 0.0000 [3 per cell]
Nd 0.0000 0.0000 0.4168 [3 per cell]
Nd 0.0000 0.0000 0.5819 [3 per cell]
Sm 0.0000 0.0000 0.8330 [3 per cell]

D(E_F) (states/eV/f.u.): 6.26
Energy of formation (meV/atom): 13
Size of the total moment (μB per atom): 0.000